1.
The following is a PBE-GGA calculation of crystalline KSr2Co at its relaxed geometry, from Alexandria.

Output
Space group: Amm2
Formation energy from the elements in meV per atom: 476
Total DFT energy (no corrections) in eV/atom: -2.42
ΔE to the lowest computed polymorph in eV per atom: 0.1220
Size of the total moment in Bohr magnetons per cell: 1.2

The structure in POSCAR format:
```
KSr2Co
1.0
4.129 0.000 0.000
0.000 4.474 -0.002
0.000 2.246 9.567
K Co Sr
1 1 2
Cartesian
2.064 4.199 6.717
0.000 4.199 3.612
2.064 1.961 3.365
0.000 4.195 0.651
```


2.
The following is a PBE-GGA calculation of crystalline LuBeAlNi at its relaxed geometry, from Alexandria.

Output
Space group: F-43m
Formation energy from the elements in meV per atom: -334
Total DFT energy (no corrections) in eV/atom: -4.78
Size of the total moment in Bohr magnetons per cell: 0.0

The structure in POSCAR format:
```
LuBeAlNi
1.0
-2.053 3.760 -0.857
-4.320 0.031 -0.651
-2.647 1.775 2.989
Be Al Lu Ni
1 1 1 1
Cartesian
-6.765 4.175 1.110
0.000 0.000 0.000
-4.510 2.783 0.740
-2.255 1.392 0.370
```